A plane-wave DFT calculation with PBE was carried out for a geometry-optimized LiIrC2 structure.

Calculated values
E above lowest polymorph = 0.0 meV per atom
Crystal system = tetragonal

Unit cell a=4.913 b=4.913 c=5.823 alpha=65.05 beta=65.05 gamma=90.00
Positions (direct):
Ir: 0.750 0.250 0.500
Li: 0.500 0.500 0.000
C: 0.696 0.125 0.250
C: 0.054 0.625 0.250
Ir: 0.000 0.000 0.000
C: 0.375 0.304 0.750
Li: 0.250 0.750 0.500
C: 0.875 0.946 0.750


A plane-wave DFT calculation with PBE was carried out for a geometry-optimized LiIrC3 structure.

Calculated values
E above lowest polymorph = 1090.6 meV per atom
Crystal system = cubic

Unit cell a=3.598 b=3.598 c=3.598 alpha=90.00 beta=90.00 gamma=90.00
Positions (direct):
Li: 0.000 0.000 0.000
Ir: 0.500 0.500 0.500
C: 0.500 0.000 0.000
C: 0.000 0.000 0.500
C: 0.000 0.500 0.000


A plane-wave DFT calculation with PBE was carried out for a geometry-optimized LiMgIr2C structure.

Calculated values
E above lowest polymorph = 0.0 meV per atom
Crystal system = tetragonal

Unit cell a=4.021 b=4.021 c=4.143 alpha=90.00 beta=90.00 gamma=90.00
Positions (direct):
Mg: 0.500 0.500 0.500
Ir: 0.000 0.500 0.000
Li: 0.000 0.000 0.500
Ir: 0.500 0.000 0.000
C: 0.000 0.000 0.000


A plane-wave DFT calculation with PBE was carried out for a geometry-optimized LiMgIr2C structure.

Calculated values
E above lowest polymorph = 148.5 meV per atom
Crystal system = tetragonal

Unit cell a=4.023 b=4.023 c=4.318 alpha=90.00 beta=90.00 gamma=90.00
Positions (direct):
Ir: 0.000 0.500 0.000
C: 0.000 0.000 0.000
Mg: 0.000 0.000 0.500
Ir: 0.500 0.000 0.000
Li: 0.500 0.500 0.500


A plane-wave DFT calculation with PBE was carried out for a geometry-optimized LiMoIr2C structure.

Calculated values
DFT total energy = -6.287 eV/atom
Crystal system = tetragonal

Unit cell a=4.224 b=3.649 c=4.224 alpha=90.00 beta=90.00 gamma=90.00
Positions (direct):
Mo: 0.500 0.500 0.500
Li: 0.000 0.000 0.000
C: 0.000 0.500 0.000
Ir: 0.000 0.000 0.500
Ir: 0.500 0.000 0.000


A plane-wave DFT calculation with PBE was carried out for a geometry-optimized LiIrCN structure.

Calculated values
Formation energy (no corrections) = 54 meV/atom
E above lowest polymorph = 127.2 meV per atom
Crystal system = monoclinic

Unit cell a=4.309 b=2.790 c=8.835 alpha=90.00 beta=112.80 gamma=90.00
Positions (direct):
Li: 0.420 0.000 0.057
N: 0.120 0.500 0.856
Li: 0.420 0.500 0.557
Ir: 0.744 0.500 0.343
C: 0.402 0.000 0.341
C: 0.402 0.500 0.841
N: 0.120 0.000 0.356
Ir: 0.744 0.000 0.843


A plane-wave DFT calculation with PBE was carried out for a geometry-optimized LiIrCN structure.

Calculated values
Formation energy (no corrections) = -73 meV/atom
E above lowest polymorph = 0.0 meV per atom
Crystal system = tetragonal

Unit cell a=2.954 b=2.954 c=5.140 alpha=90.00 beta=90.00 gamma=90.00
Positions (direct):
Li: 0.500 0.500 0.139
C: 0.000 0.000 0.853
N: 0.000 0.000 0.089
Ir: 0.000 0.000 0.492


A plane-wave DFT calculation with PBE was carried out for a geometry-optimized LiIrCN structure.

Calculated values
Formation energy (no corrections) = -11 meV/atom
E above lowest polymorph = 62.6 meV per atom
Crystal system = orthorhombic

Unit cell a=3.036 b=2.851 c=9.513 alpha=90.00 beta=90.00 gamma=90.00
Positions (direct):
Ir: 0.000 0.500 0.531
C: 0.000 0.500 0.185
N: 0.000 0.500 0.317
Li: 0.500 0.000 0.318
C: 0.000 0.000 0.685
Li: 0.500 0.500 0.818
N: 0.000 0.000 0.817
Ir: 0.000 0.000 0.031


A plane-wave DFT calculation with PBE was carried out for a geometry-optimized LiIrCN structure.

Calculated values
Formation energy (no corrections) = 35 meV/atom
E above lowest polymorph = 108.4 meV per atom
Crystal system = orthorhombic

Unit cell a=2.885 b=3.144 c=4.402 alpha=90.00 beta=90.00 gamma=90.00
Positions (direct):
C: 0.000 0.000 0.180
Li: 0.500 0.500 0.989
N: 0.000 0.000 0.887
Ir: 0.500 0.000 0.498


A plane-wave DFT calculation with PBE was carried out for a geometry-optimized LiIrCN structure.

Calculated values
Formation energy (no corrections) = 42 meV/atom
E above lowest polymorph = 115.1 meV per atom
Crystal system = trigonal

Unit cell a=2.849 b=2.849 c=18.589 alpha=90.00 beta=90.00 gamma=120.00
Positions (direct):
C: 0.333 0.667 0.885
N: 0.000 0.000 0.153
Li: 0.333 0.667 0.093
C: 0.000 0.000 0.218
Li: 0.000 0.000 0.427
Ir: 0.000 0.000 0.627
N: 0.333 0.667 0.820
C: 0.667 0.333 0.551
Li: 0.667 0.333 0.760
Ir: 0.333 0.667 0.293
N: 0.667 0.333 0.486
Ir: 0.667 0.333 0.960


A plane-wave DFT calculation with PBE was carried out for a geometry-optimized LiIrCN structure.

Calculated values
Formation energy (no corrections) = 54 meV/atom
E above lowest polymorph = 127.2 meV per atom
Crystal system = monoclinic

Unit cell a=6.309 b=2.791 c=5.113 alpha=90.00 beta=95.29 gamma=90.00
Positions (direct):
Ir: 0.965 0.000 0.739
C: 0.203 0.500 0.770
Li: 0.570 0.500 0.490
Ir: 0.965 0.500 0.239
N: 0.395 0.500 0.795
Li: 0.570 0.000 0.990
C: 0.203 0.000 0.270
N: 0.395 0.000 0.295


A plane-wave DFT calculation with PBE was carried out for a geometry-optimized LiIrCN structure.

Calculated values
Formation energy (no corrections) = 522 meV/atom
E above lowest polymorph = 595.4 meV per atom
Crystal system = monoclinic

Unit cell a=5.313 b=3.091 c=5.712 alpha=90.00 beta=106.68 gamma=90.00
Positions (direct):
Li: 0.962 0.000 0.305
C: 0.354 0.000 0.179
Ir: 0.491 0.000 0.908
C: 0.354 0.500 0.679
Ir: 0.491 0.500 0.408
N: 0.748 0.000 0.568
N: 0.748 0.500 0.068
Li: 0.962 0.500 0.805


A plane-wave DFT calculation with PBE was carried out for a geometry-optimized LiIrCN structure.

Calculated values
Formation energy (no corrections) = 538 meV/atom
E above lowest polymorph = 611.5 meV per atom
Crystal system = orthorhombic

Unit cell a=3.235 b=3.190 c=5.028 alpha=90.00 beta=90.00 gamma=90.00
Positions (direct):
N: 0.000 0.500 0.313
Li: 0.500 0.500 0.568
C: 0.500 0.000 0.891
Ir: 0.000 0.000 0.095


A plane-wave DFT calculation with PBE was carried out for a geometry-optimized LiIrCN structure.

Calculated values
Formation energy (no corrections) = 104 meV/atom
E above lowest polymorph = 177.1 meV per atom
Crystal system = monoclinic

Unit cell a=4.407 b=2.422 c=9.661 alpha=90.00 beta=101.17 gamma=90.00
Positions (direct):
C: 0.912 0.000 0.717
Ir: 0.916 0.000 0.922
N: 0.918 0.500 0.640
Li: 0.381 0.000 0.334
Li: 0.381 0.500 0.834
Ir: 0.916 0.500 0.422
C: 0.912 0.500 0.217
N: 0.918 0.000 0.140


A plane-wave DFT calculation with PBE was carried out for a geometry-optimized LiIrCN structure.

Calculated values
Formation energy (no corrections) = 133 meV/atom
E above lowest polymorph = 205.9 meV per atom
Crystal system = monoclinic

Unit cell a=3.971 b=2.991 c=4.082 alpha=90.00 beta=117.15 gamma=90.00
Positions (direct):
C: 0.118 0.000 0.297
Ir: 0.678 0.000 0.452
Li: 0.358 0.500 0.805
N: 0.804 0.000 0.000


A plane-wave DFT calculation with PBE was carried out for a geometry-optimized LiIrCN structure.

Calculated values
Formation energy (no corrections) = 88 meV/atom
E above lowest polymorph = 161.0 meV per atom
Crystal system = orthorhombic

Unit cell a=2.798 b=4.142 c=4.322 alpha=90.00 beta=90.00 gamma=90.00
Positions (direct):
N: 0.000 0.500 0.736
Li: 0.000 0.000 0.850
Ir: 0.500 0.500 0.104
C: 0.000 0.500 0.442


A plane-wave DFT calculation with PBE was carried out for a geometry-optimized LiIrCN structure.

Calculated values
Formation energy (no corrections) = -15 meV/atom
E above lowest polymorph = 58.1 meV per atom
Crystal system = tetragonal

Unit cell a=3.033 b=3.033 c=5.081 alpha=90.00 beta=90.00 gamma=90.00
Positions (direct):
Ir: 0.000 0.000 0.562
C: 0.000 0.000 0.937
N: 0.000 0.000 0.174
Li: 0.500 0.500 0.900


A plane-wave DFT calculation with PBE was carried out for a geometry-optimized LiIrCN structure.

Calculated values
Formation energy (no corrections) = 215 meV/atom
E above lowest polymorph = 288.1 meV per atom
Crystal system = orthorhombic

Unit cell a=2.844 b=2.425 c=11.728 alpha=90.00 beta=90.00 gamma=90.00
Positions (direct):
Ir: 0.500 0.500 0.378
C: 0.500 0.000 0.013
Li: 0.000 0.000 0.181
Ir: 0.000 0.000 0.878
Li: 0.500 0.500 0.681
N: 0.500 0.500 0.079
N: 0.000 0.000 0.579
C: 0.000 0.500 0.513


A plane-wave DFT calculation with PBE was carried out for a geometry-optimized NaLiIr2C structure.

Calculated values
DFT total energy = -6.013 eV/atom
Crystal system = tetragonal

Unit cell a=4.004 b=4.004 c=4.493 alpha=90.00 beta=90.00 gamma=90.00
Positions (direct):
Ir: 0.500 0.000 0.000
Li: 0.000 0.000 0.500
C: 0.000 0.000 0.000
Ir: 0.000 0.500 0.000
Na: 0.500 0.500 0.500


A plane-wave DFT calculation with PBE was carried out for a geometry-optimized LiIrCO5 structure.

Calculated values
Formation energy (no corrections) = -1053 meV/atom
Crystal system = monoclinic

Unit cell a=5.017 b=5.017 c=6.978 alpha=106.07 beta=106.07 gamma=102.55
Positions (direct):
C: 0.317 0.683 0.750
O: 0.340 0.896 0.658
Li: 0.653 0.347 0.750
O: 0.272 0.409 0.594
O: 0.104 0.660 0.842
O: 0.896 0.340 0.158
O: 0.409 0.272 0.094
O: 0.901 0.099 0.750
Ir: 0.000 0.000 0.500
O: 0.660 0.104 0.342
O: 0.728 0.591 0.406
O: 0.099 0.901 0.250
Li: 0.347 0.653 0.250
C: 0.683 0.317 0.250
O: 0.591 0.728 0.906
Ir: 0.000 0.000 0.000